Version A
# CoTcTeN2

A relaxed structure of CoTcTeN2 (PBE-GGA, Alexandria via LeMat-Bulk).

a = 3.7383 Å, b = 3.7383 Å, c = 5.4099 Å
α = 90.00°, β = 90.00°, γ = 90.00°
Closest atoms and distances in Å follow each position.
Element x y z (fractional)
1 Te 0.0000 0.0000 0.5000  4 Tc 2.64, 2 Co 2.70
2 Co 0.0000 0.0000 0.0000  4 N 1.87
3 Tc 0.5000 0.5000 0.5000  4 Te 2.64
4 N 0.0000 0.5000 0.0000  2 Co 1.87
5 N 0.5000 0.0000 0.0000  2 Co 1.87

Summary:
The calculation puts the density of states at the Fermi level at 4.60 states/eV per cell. The crystal system is tetragonal. As for the symmetry: No. 123.


Version B
# CoTcTeN2

A relaxed structure of CoTcTeN2 (PBE-GGA, Alexandria via LeMat-Bulk).

a = 3.8018 Å, b = 3.8018 Å, c = 5.8087 Å
α = 90.00°, β = 90.00°, γ = 90.00°
Closest atoms and distances in Å follow each position.
Element x y z (fractional)
1 Te 0.0000 0.0000 0.5000  4 Co 2.69, 2 Tc 2.90
2 Co 0.5000 0.5000 0.5000  4 Te 2.69
3 Tc 0.0000 0.0000 0.0000  4 N 1.90
4 N 0.0000 0.5000 0.0000  2 Tc 1.90
5 N 0.5000 0.0000 0.0000  2 Tc 1.90

Summary:
The calculation puts the density of states at the Fermi level at 6.52 states/eV per cell. The crystal system is tetragonal. As for the symmetry: No. 123.


It is version B that is the most stable of them.


Version A
# Co3TeN

A relaxed structure of Co3TeN (PBE-GGA, Alexandria via LeMat-Bulk).

a = 3.9143 Å, b = 3.9143 Å, c = 3.9143 Å
α = 90.00°, β = 90.00°, γ = 90.00°
Closest atoms and distances in Å follow each position.
Element x y z (fractional)
1 Te 0.5000 0.5000 0.5000  12 Co 2.77
2 Co 0.0000 0.5000 0.0000  2 N 1.96
3 Co 0.0000 0.0000 0.5000  2 N 1.96
4 Co 0.5000 0.0000 0.0000  2 N 1.96
5 N 0.0000 0.0000 0.0000  6 Co 1.96

Summary:
The calculation puts the density of states at the Fermi level at 5.62 states/eV per cell. The crystal system is cubic. As for the symmetry: No. 221.


Version B
# Co3TeN

A relaxed structure of Co3TeN (PBE-GGA, Alexandria via LeMat-Bulk).

a = 4.7748 Å, b = 4.7748 Å, c = 4.7748 Å
α = 90.00°, β = 90.00°, γ = 90.00°
Closest atoms and distances in Å follow each position.
Element x y z (fractional)
1 Te 0.0000 0.0000 0.0000  6 Co 2.39
2 Co 0.0000 0.5000 0.0000  2 Te 2.39
3 Co 0.0000 0.0000 0.5000  2 Te 2.39
4 Co 0.5000 0.0000 0.0000  2 Te 2.39
5 N 0.5000 0.5000 0.5000  12 Co 3.38

Summary:
The calculation puts the density of states at the Fermi level at 7.27 states/eV per cell. The crystal system is cubic. As for the symmetry: No. 221.


It is version A that is the most stable of them.


Version A
# TiCoTe2N

A relaxed structure of TiCoTe2N (PBE-GGA, Alexandria via LeMat-Bulk).

a = 5.4994 Å, b = 5.4994 Å, c = 3.6785 Å
α = 90.00°, β = 90.00°, γ = 90.00°
Closest atoms and distances in Å follow each position.
Element x y z (fractional)
1 N 0.0000 0.0000 0.5000  2 Ti 1.84
2 Te 0.0000 0.5000 0.0000  2 Ti 2.75
3 Te 0.5000 0.0000 0.0000  2 Ti 2.75
4 Co 0.5000 0.5000 0.5000  8 Te 3.31, 2 Co 3.68
5 Ti 0.0000 0.0000 0.0000  2 N 1.84

Summary:
The calculation puts the density of states at the Fermi level at 5.71 states/eV per cell. The crystal system is tetragonal. As for the symmetry: No. 123.


Version B
# TiCoTe2N

A relaxed structure of TiCoTe2N (PBE-GGA, Alexandria via LeMat-Bulk).

a = 5.2590 Å, b = 5.2590 Å, c = 3.4144 Å
α = 90.00°, β = 90.00°, γ = 90.00°
Closest atoms and distances in Å follow each position.
Element x y z (fractional)
1 N 0.0000 0.0000 0.5000  2 Co 1.71
2 Te 0.0000 0.5000 0.0000  2 Co 2.63
3 Te 0.5000 0.0000 0.0000  2 Co 2.63
4 Co 0.0000 0.0000 0.0000  2 N 1.71
5 Ti 0.5000 0.5000 0.5000  8 Te 3.14, 2 Ti 3.41

Summary:
The calculation puts the density of states at the Fermi level at 5.79 states/eV per cell. The crystal system is tetragonal. As for the symmetry: No. 123.


It is version B that is the most stable of them.